# CePr2O, relaxed, DFT PBE
# - Energy above the lowest structure with this stoichiometry: 0.000 eV/atom
# - Volume: 26.80 A^3/atom
# - Fermi-level density of states: 6.61 states/eV/f.u.
# - Energy relative to the elements, uncorrected: -1.06 eV per atom
# - Magnetization: 0.36 μB/atom
data_CePr2O
_chemical_formula_sum 'Ce1 Pr2 O1'
_space_group_name_H-M_alt 'P 1'
_space_group_IT_number 1
_space_group_name_Hall 'P 1'
_cell_length_a 3.5916
_cell_length_b 3.5916
_cell_length_c 9.8163
_cell_angle_alpha 79.46
_cell_angle_beta 79.46
_cell_angle_gamma 60.00
loop_
_atom_site_label
_atom_site_fract_x
_atom_site_fract_y
_atom_site_fract_z
_atom_site_occupancy
Pr1 0.1170 0.1170 0.6491 1
Pr2 0.8830 0.8830 0.3509 1
Ce1 0.0000 0.0000 0.0000 1
O1 0.5000 0.5000 0.5000 1